[1]
This record from Alexandria describes crystalline BeCdAg at its relaxed geometry. The functional is GGA-PBE.

Energy of formation from the pure elements, kJ/mol of formula units: 51

a = 2.9309 Å, b = 2.9309 Å, c = 10.9486 Å
α = 90.00°, β = 90.00°, γ = 90.00°
Closest atoms and distances in Å follow each position.
Element x y z (fractional)
Be 0.0000 0.0000 0.0000  4 Ag 2.52, 4 Cd 2.72
Be 0.5000 0.5000 0.5000  4 Ag 2.52, 4 Cd 2.72
Cd 0.0000 0.0000 0.3392  4 Be 2.72, 4 Cd 2.93
Cd 0.5000 0.5000 0.8392  4 Be 2.72, 4 Cd 2.93
Ag 0.0000 0.0000 0.6312  4 Be 2.52
Ag 0.5000 0.5000 0.1312  4 Be 2.52

[2]
This record from Alexandria describes crystalline BeCdAg3 at its relaxed geometry. The functional is GGA-PBE.

Energy of formation from the pure elements, kJ/mol of formula units: 560

a = 5.1603 Å, b = 5.1603 Å, c = 5.1603 Å
α = 90.00°, β = 90.00°, γ = 90.00°
Closest atoms and distances in Å follow each position.
Element x y z (fractional)
Be 0.0000 0.0000 0.0000  12 Ag 3.65
Cd 0.5000 0.5000 0.5000  6 Ag 2.58
Ag 0.0000 0.5000 0.5000  2 Cd 2.58
Ag 0.5000 0.0000 0.5000  2 Cd 2.58
Ag 0.5000 0.5000 0.0000  2 Cd 2.58

[3]
This record from Alexandria describes crystalline BeCdAg2 at its relaxed geometry. The functional is GGA-PBE.

Energy of formation from the pure elements, kJ/mol of formula units: 94

a = 6.4281 Å, b = 6.4281 Å, c = 6.4281 Å
α = 90.00°, β = 90.00°, γ = 90.00°
Closest atoms and distances in Å follow each position.
Element x y z (fractional)
Be 0.0000 0.0000 0.0000  4 Cd 2.78, 4 Ag 2.78
Be 0.0000 0.5000 0.5000  4 Cd 2.78, 4 Ag 2.78
Be 0.5000 0.0000 0.5000  4 Cd 2.78, 4 Ag 2.78
Be 0.5000 0.5000 0.0000  4 Cd 2.78, 4 Ag 2.78
Cd 0.2500 0.2500 0.7500  4 Be 2.78, 4 Ag 2.78
Cd 0.2500 0.7500 0.2500  4 Be 2.78, 4 Ag 2.78
Cd 0.7500 0.2500 0.2500  4 Be 2.78, 4 Ag 2.78
Cd 0.7500 0.7500 0.7500  4 Be 2.78, 4 Ag 2.78
Ag 0.0000 0.0000 0.5000  4 Cd 2.78, 4 Ag 2.78
Ag 0.0000 0.5000 0.0000  4 Cd 2.78, 4 Ag 2.78
Ag 0.2500 0.2500 0.2500  4 Be 2.78, 4 Ag 2.78
Ag 0.2500 0.7500 0.7500  4 Be 2.78, 4 Ag 2.78
Ag 0.5000 0.0000 0.0000  4 Cd 2.78, 4 Ag 2.78
Ag 0.5000 0.5000 0.5000  4 Cd 2.78, 4 Ag 2.78
Ag 0.7500 0.2500 0.7500  4 Be 2.78, 4 Ag 2.78
Ag 0.7500 0.7500 0.2500  4 Be 2.78, 4 Ag 2.78

[4]
This record from Alexandria describes crystalline BeCdAg2 at its relaxed geometry. The functional is GGA-PBE.

Energy of formation from the pure elements, kJ/mol of formula units: 86

a = 3.7492 Å, b = 4.1638 Å, c = 4.2421 Å
α = 90.00°, β = 90.00°, γ = 90.00°
Closest atoms and distances in Å follow each position.
Element x y z (fractional)
Be 0.0000 0.0000 0.0000  8 Ag 2.80-2.97, 4 Cd 2.83
Cd 0.5000 0.0000 0.5000  8 Ag 2.80-2.97, 4 Be 2.83
Ag 0.0000 0.5000 0.5000  4 Cd 2.80, 4 Ag 2.83, 4 Be 2.97
Ag 0.5000 0.5000 0.0000  4 Be 2.80, 4 Ag 2.83, 4 Cd 2.97

[5]
This record from Alexandria describes crystalline BeCdAg2 at its relaxed geometry. The functional is GGA-PBE.

Energy of formation from the pure elements, kJ/mol of formula units: 82

a = 3.9642 Å, b = 3.9642 Å, c = 8.4198 Å
α = 90.00°, β = 90.00°, γ = 90.00°
Closest atoms and distances in Å follow each position.
Element x y z (fractional)
Be 0.0000 0.0000 0.0000  8 Ag 2.80-2.89, 4 Cd 2.89
Be 0.5000 0.5000 0.5000  8 Ag 2.80-2.89, 4 Cd 2.89
Cd 0.0000 0.5000 0.7500  8 Ag 2.80-2.89, 4 Be 2.89
Cd 0.5000 0.0000 0.2500  8 Ag 2.80-2.89, 4 Be 2.89
Ag 0.0000 0.0000 0.5000  4 Be 2.80, 4 Cd 2.89, 4 Ag 2.89
Ag 0.0000 0.5000 0.2500  4 Cd 2.80, 4 Be 2.89, 4 Ag 2.89
Ag 0.5000 0.0000 0.7500  4 Cd 2.80, 4 Be 2.89, 4 Ag 2.89
Ag 0.5000 0.5000 0.0000  4 Be 2.80, 4 Cd 2.89, 4 Ag 2.89

[6]
This record from Alexandria describes crystalline BeCdAg2 at its relaxed geometry. The functional is GGA-PBE.

Energy of formation from the pure elements, kJ/mol of formula units: 169

a = 3.9178 Å, b = 3.9178 Å, c = 19.0630 Å
α = 90.00°, β = 90.00°, γ = 90.00°
Closest atoms and distances in Å follow each position.
Element x y z (fractional)
Be 0.0000 0.0000 0.0000  4 Ag 2.74, 4 Cd 2.77
Be 0.0000 0.5000 0.2500  4 Ag 2.74, 4 Cd 2.77
Be 0.5000 0.0000 0.7500  4 Ag 2.74, 4 Cd 2.77
Be 0.5000 0.5000 0.5000  4 Ag 2.74, 4 Cd 2.77
Cd 0.0000 0.0000 0.5000  4 Be 2.77, 4 Ag 2.78
Cd 0.0000 0.5000 0.7500  4 Be 2.77, 4 Ag 2.78
Cd 0.5000 0.0000 0.2500  4 Be 2.77, 4 Ag 2.78
Cd 0.5000 0.5000 0.0000  4 Be 2.77, 4 Ag 2.78
Ag 0.2365 0.2500 0.1250  4 Ag 2.70-2.85, 2 Be 2.74, 2 Cd 2.78
Ag 0.2500 0.7365 0.3750  4 Ag 2.70-2.85, 2 Be 2.74, 2 Cd 2.78
Ag 0.2500 0.7635 0.8750  4 Ag 2.70-2.85, 2 Be 2.74, 2 Cd 2.78
Ag 0.2635 0.2500 0.6250  4 Ag 2.70-2.85, 2 Be 2.74, 2 Cd 2.78
Ag 0.7365 0.7500 0.6250  4 Ag 2.70-2.85, 2 Be 2.74, 2 Cd 2.78
Ag 0.7500 0.2365 0.8750  4 Ag 2.70-2.85, 2 Be 2.74, 2 Cd 2.78
Ag 0.7500 0.2635 0.3750  4 Ag 2.70-2.85, 2 Be 2.74, 2 Cd 2.78
Ag 0.7635 0.7500 0.1250  4 Ag 2.70-2.85, 2 Be 2.74, 2 Cd 2.78

[7]
This record from Alexandria describes crystalline BeCdAg2 at its relaxed geometry. The functional is GGA-PBE.

Energy of formation from the pure elements, kJ/mol of formula units: 74

a = 2.9277 Å, b = 4.3025 Å, c = 5.4434 Å
α = 90.00°, β = 105.24°, γ = 90.00°
Closest atoms and distances in Å follow each position.
Element x y z (fractional)
Be 0.0000 0.0000 0.0000  2 Ag 2.45
Cd 0.6378 0.5000 0.2397  7 Ag 2.83-3.03, 4 Be 2.86-2.92, 2 Cd 2.93
Ag 0.2858 0.0000 0.5331  3 Be 2.80-2.88, 6 Ag 2.90-2.93, 4 Cd 3.02-3.03
Ag 0.9100 0.5000 0.7781  2 Be 2.45

[8]
This record from Alexandria describes crystalline BeCd3Ag at its relaxed geometry. The functional is GGA-PBE.

Energy of formation from the pure elements, kJ/mol of formula units: 155

a = 4.7048 Å, b = 4.7048 Å, c = 4.7048 Å
α = 90.00°, β = 90.00°, γ = 90.00°
Closest atoms and distances in Å follow each position.
Element x y z (fractional)
Be 0.0000 0.0000 0.0000  6 Cd 2.35
Cd 0.0000 0.0000 0.5000  2 Be 2.35
Cd 0.0000 0.5000 0.0000  2 Be 2.35
Cd 0.5000 0.0000 0.0000  2 Be 2.35
Ag 0.5000 0.5000 0.5000  12 Cd 3.33

Question: Which formula does entry 8 have?
Answer: BeCd3Ag